Entry 1:
A geometry-optimized TlCoRh2Cl structure. Source: the Alexandria database, functional GGA-PBEsol.

Geometry as POSCAR:
```
TlCoRh2Cl
1.0
4.9701 0.0000 0.0000
0.0000 4.9701 0.0000
0.0000 0.0000 4.7670
Tl Co Rh Cl
1 1 2 1
Direct
0.0000 0.0000 0.0000 Tl
0.0000 0.0000 0.5000 Co
0.0000 0.5000 0.0000 Rh
0.5000 0.0000 0.0000 Rh
0.5000 0.5000 0.5000 Cl
```

Calculated values
density	7.12	g cm⁻³
VASP energy	-3.92	eV/atom
calculated volume	117.76	Å³/f.u.
magnetic moment	3.5	μB/cell

Entry 2:
A geometry-optimized PmTlRh2 structure. Source: the Alexandria database, functional GGA-PBEsol.

Geometry as POSCAR:
```
PmTlRh2
1.0
6.6704 0.0000 0.0000
0.0000 6.6704 0.0000
0.0000 0.0000 6.6704
Pm Tl Rh
4 4 8
Direct
0.0000 0.0000 0.0000 Pm
0.0000 0.5000 0.5000 Pm
0.5000 0.0000 0.5000 Pm
0.5000 0.5000 0.0000 Pm
0.0000 0.0000 0.5000 Tl
0.0000 0.5000 0.0000 Tl
0.5000 0.0000 0.0000 Tl
0.5000 0.5000 0.5000 Tl
0.2500 0.2500 0.2500 Rh
0.2500 0.2500 0.7500 Rh
0.2500 0.7500 0.2500 Rh
0.2500 0.7500 0.7500 Rh
0.7500 0.2500 0.2500 Rh
0.7500 0.2500 0.7500 Rh
0.7500 0.7500 0.2500 Rh
0.7500 0.7500 0.7500 Rh
```

Calculated values
DFT formation energy	-443	meV per atom
density	12.43	g cm⁻³
calculated volume	74.20	Å³/f.u.
magnetic moment	0.0	μB/cell

Entry 3:
A geometry-optimized Ca2MgIr structure. Source: the Alexandria database, functional GGA-PBEsol.

Geometry as POSCAR:
```
Ca2MgIr
1.0
4.3815 0.0000 0.0000
0.0000 4.2387 0.0000
0.0000 0.0000 10.8325
Ca Mg Ir
4 2 2
Direct
0.0000 0.0000 0.0000 Ca
0.0000 0.5000 0.5000 Ca
0.5000 0.0000 0.2828 Ca
0.5000 0.5000 0.7828 Ca
0.5000 0.0000 0.5830 Mg
0.5000 0.5000 0.0830 Mg
0.0000 0.0000 0.7066 Ir
0.0000 0.5000 0.2066 Ir
```

Calculated values
DFT formation energy	-111	meV per atom
density	4.90	g cm⁻³
calculated volume	100.59	Å³/f.u.
magnetic moment	0.0	μB/cell